Record 1
First-principles (PBE) data for crystalline NaTiZn2Pt at its relaxed geometry, as listed in Alexandria via LeMat-Bulk.

abc: 4.788 5.002 4.788
angles: 90.00 90.00 90.00
Element x y z (fractional)
Na  0.000  0.500  0.000
Zn  0.000  0.000  0.500
Zn  0.500  0.000  0.000
Pt  0.000  0.000  0.000
Ti  0.500  0.500  0.500

Output
* formation enthalpy at 0 K: 0.562 eV/atom
* energy: -15.0 eV/cell
* total magnetization: 0.047 Bohr magnetons per cell

***

Record 2
First-principles (PBE) data for crystalline ZnSb2O at its relaxed geometry, as listed in Alexandria via LeMat-Bulk.

abc: 4.676 4.676 4.676
angles: 60.00 60.00 60.00
Element x y z (fractional)
Sb  0.250  0.250  0.250
Sb  0.750  0.750  0.750
Zn  0.500  0.500  0.500
O  0.000  0.000  0.000

Output
* energy: -13.8 eV/cell
* excess energy over the best structure of this formula in the dataset: 315 meV/atom
* uncorrected formation energy: 0.16 eV per atom
* total magnetization: 0.000 Bohr magnetons per cell

***

Record 3
First-principles (PBE) data for crystalline Pm3Re2C4 at its relaxed geometry, as listed in Alexandria via LeMat-Bulk.

abc: 3.321 5.995 7.406
angles: 94.58 90.00 106.08
Element x y z (fractional)
Pm  0.378  0.756  0.580
Pm  0.000  0.000  0.000
Pm  0.622  0.244  0.420
Re  0.285  0.571  0.164
Re  0.715  0.429  0.836
C  0.658  0.316  0.090
C  0.158  0.316  0.675
C  0.842  0.684  0.325
C  0.342  0.684  0.910

Output
* formation enthalpy at 0 K: 0.064 eV/atom
* energy: -75.5 eV/cell
* total magnetization: 0.000 Bohr magnetons per cell

***

Record 4
First-principles (PBE) data for crystalline NdSnS at its relaxed geometry, as listed in Alexandria via LeMat-Bulk.

abc: 4.085 4.085 9.697
angles: 102.16 102.16 90.00
Element x y z (fractional)
Nd  0.342  0.342  0.684
Nd  0.658  0.658  0.316
Sn  0.000  0.500  0.000
Sn  0.500  0.000  0.000
S  0.187  0.187  0.374
S  0.813  0.813  0.626

Output
* energy: -33.7 eV/cell
* uncorrected formation energy: -1.32 eV per atom
* total magnetization: 0.000 Bohr magnetons per cell

***

Record 5
First-principles (PBE) data for crystalline NiSeCl6 at its relaxed geometry, as listed in Alexandria via LeMat-Bulk.

abc: 6.069 6.725 6.725
angles: 126.38 98.55 98.55
Element x y z (fractional)
Ni  0.000  0.000  0.000
Se  0.500  0.500  0.500
Cl  0.762  0.627  0.898
Cl  0.762  0.898  0.627
Cl  0.238  0.102  0.373
Cl  0.238  0.373  0.102
Cl  0.743  0.257  0.257
Cl  0.257  0.743  0.743

Output
* energy: -22.8 eV/cell
* uncorrected formation energy: -0.31 eV per atom
* total magnetization: 1.581 Bohr magnetons per cell

***

Record 6
First-principles (PBE) data for crystalline LiDyPtO4 at its relaxed geometry, as listed in Alexandria via LeMat-Bulk.

abc: 6.330 6.413 6.910
angles: 122.60 90.00 119.58
Element x y z (fractional)
Li  0.920  0.840  0.170
Li  0.080  0.160  0.830
Dy  0.500  0.000  0.500
Dy  0.500  0.000  0.000
Pt  0.500  0.500  0.500
Pt  0.000  0.500  0.500
O  0.760  0.520  0.705
O  0.283  0.026  0.263
O  0.743  0.026  0.263
O  0.760  0.520  0.315
O  0.240  0.480  0.685
O  0.717  0.974  0.737
O  0.257  0.974  0.737
O  0.240  0.480  0.295

Output
* energy: -91.4 eV/cell
* uncorrected formation energy: -1.90 eV per atom
* total magnetization: 0.000 Bohr magnetons per cell

***

Record 7
First-principles (PBE) data for crystalline Th3Te4 at its relaxed geometry, as listed in Alexandria via LeMat-Bulk.

abc: 8.177 8.177 8.177
angles: 109.47 109.47 109.47
Element x y z (fractional)
Th  0.125  0.375  0.250
Th  0.625  0.750  0.875
Th  0.875  0.250  0.625
Th  0.250  0.875  0.125
Th  0.750  0.625  0.375
Th  0.375  0.125  0.750
Te  0.344  0.500  0.000
Te  0.500  0.344  0.500
Te  0.000  0.000  0.344
Te  0.656  0.156  0.156
Te  0.000  0.000  0.844
Te  0.156  0.656  0.656
Te  0.844  0.500  0.000
Te  0.500  0.844  0.500

Output
* energy: -84.9 eV/cell
* excess energy over the best structure of this formula in the dataset: 44 meV/atom
* uncorrected formation energy: -1.09 eV per atom
* total magnetization: 0.000 Bohr magnetons per cell

***

Record 8
First-principles (PBE) data for crystalline MgSiBr2 at its relaxed geometry, as listed in Alexandria via LeMat-Bulk.

abc: 5.059 5.059 5.059
angles: 60.00 60.00 60.00
Element x y z (fractional)
Si  0.500  0.500  0.500
Mg  0.000  0.000  0.000
Br  0.250  0.250  0.250
Br  0.750  0.750  0.750

Output
* energy: -10.0 eV/cell
* excess energy over the best structure of this formula in the dataset: 457 meV/atom
* uncorrected formation energy: 0.10 eV per atom
* total magnetization: 0.000 Bohr magnetons per cell

***

V in Å³ per cell, matching the order above: 114.7; 72.3; 141.2; 154.4; 208.6; 191.5; 420.9; 91.5